Record 1
First-principles (SCAN) data for LiCa2Ag at its PBEsol-relaxed geometry, as listed in Alexandria.

Summary:
Space group: Fm-3m (225)
ΔE to the lowest computed polymorph: 0.08 eV per formula unit
Calculated density: 3.112 g/cm³
V: 104.0 Å³/f.u.

a b c (Å): 5.2790 5.2790 5.2790
angles (deg): 60.00 60.00 60.00
Closest atoms and distances in Å follow each position.
Atoms (fractional coordinates):
Ca (0.7500, 0.7500, 0.7500)  4 Li 3.23, 4 Ag 3.23
Ca (0.2500, 0.2500, 0.2500)  4 Li 3.23, 4 Ag 3.23
Li (0.0000, 0.0000, 0.0000)  8 Ca 3.23
Ag (0.5000, 0.5000, 0.5000)  8 Ca 3.23

---

Record 2
First-principles (SCAN) data for Li3CaAg at its PBEsol-relaxed geometry, as listed in Alexandria.

Summary:
Space group: Pm-3m (221)
Calculated density: 2.324 g/cm³
Energy: -0.710 Ry per atom
V: 120.6 Å³/f.u.

a b c (Å): 4.9408 4.9408 4.9408
angles (deg): 90.00 90.00 90.00
Closest atoms and distances in Å follow each position.
Atoms (fractional coordinates):
Li (0.0000, 0.0000, 0.5000)  2 Ag 2.47
Li (0.5000, 0.0000, 0.0000)  2 Ag 2.47
Li (0.0000, 0.5000, 0.0000)  2 Ag 2.47
Ag (0.0000, 0.0000, 0.0000)  6 Li 2.47
Ca (0.5000, 0.5000, 0.5000)  12 Li 3.49

---

Record 3
First-principles (SCAN) data for Li2CaAg2 at its PBEsol-relaxed geometry, as listed in Alexandria.

Summary:
Space group: P4/mbm (127)
ΔE to the lowest computed polymorph: 0.17 eV per formula unit
Calculated density: 4.519 g/cm³
V: 99.1 Å³/f.u.

a b c (Å): 3.3993 7.6358 7.6358
angles (deg): 90.00 90.00 90.00
Closest atoms and distances in Å follow each position.
Atoms (fractional coordinates):
Ca (0.0000, 0.5000, 0.5000)  4 Ag 2.98
Ca (0.0000, 0.0000, 0.0000)  4 Ag 2.98
Li (0.5000, 0.6491, 0.8509)  6 Ag 2.75-2.90
Li (0.5000, 0.8509, 0.3509)  6 Ag 2.75-2.90
Li (0.5000, 0.3509, 0.1491)  6 Ag 2.75-2.90
Li (0.5000, 0.1491, 0.6491)  6 Ag 2.75-2.90
Ag (0.0000, 0.6335, 0.1336)  6 Li 2.75-2.90, 1 Ag 2.88, 2 Ca 2.98
Ag (0.0000, 0.1336, 0.3664)  6 Li 2.75-2.90, 1 Ag 2.88, 2 Ca 2.98
Ag (0.0000, 0.3664, 0.8664)  6 Li 2.75-2.90, 1 Ag 2.88, 2 Ca 2.98
Ag (0.0000, 0.8664, 0.6335)  6 Li 2.75-2.90, 1 Ag 2.88, 2 Ca 2.98

---

Record 4
First-principles (SCAN) data for LiCa2Ag2 at its PBEsol-relaxed geometry, as listed in Alexandria.

Summary:
Space group: P4/mbm (127)
Calculated density: 4.014 g/cm³
Energy: -1.261 Ry per atom
V: 125.3 Å³/f.u.

a b c (Å): 4.1125 7.8056 7.8056
angles (deg): 90.00 90.00 90.00
Closest atoms and distances in Å follow each position.
Atoms (fractional coordinates):
Li (0.0000, 0.0000, 0.0000)  4 Ag 3.08
Li (0.0000, 0.5000, 0.5000)  4 Ag 3.08
Ag (0.0000, 0.1270, 0.3730)  1 Ag 2.80, 6 Ca 3.04-3.12, 2 Li 3.08
Ag (0.0000, 0.6270, 0.1270)  1 Ag 2.80, 6 Ca 3.04-3.12, 2 Li 3.08
Ag (0.0000, 0.8730, 0.6270)  1 Ag 2.80, 6 Ca 3.04-3.12, 2 Li 3.08
Ag (0.0000, 0.3730, 0.8730)  1 Ag 2.80, 6 Ca 3.04-3.12, 2 Li 3.08
Ca (0.5000, 0.1706, 0.6706)  6 Ag 3.04-3.12
Ca (0.5000, 0.8294, 0.3294)  6 Ag 3.04-3.12
Ca (0.5000, 0.6706, 0.8294)  6 Ag 3.04-3.12
Ca (0.5000, 0.3294, 0.1706)  6 Ag 3.04-3.12

---

Record 5
First-principles (SCAN) data for LiCa2Ag at its PBEsol-relaxed geometry, as listed in Alexandria.

Summary:
Space group: P4mm (99)
ΔE to the lowest computed polymorph: 0.25 eV per formula unit
Calculated density: 3.044 g/cm³
V: 106.3 Å³/f.u.

a b c (Å): 3.6462 3.6462 7.9991
angles (deg): 90.00 90.00 90.00
Closest atoms and distances in Å follow each position.
Atoms (fractional coordinates):
Ca (0.5000, 0.5000, 0.3016)  1 Ag 3.19, 4 Li 3.32
Ca (0.0000, 0.0000, 0.9342)  1 Li 2.97, 4 Ag 3.18
Ag (0.5000, 0.5000, 0.7008)  4 Li 2.80
Li (0.0000, 0.0000, 0.5634)  4 Ag 2.80, 1 Ca 2.97

---

Record 6
First-principles (SCAN) data for Li2CaAg at its PBEsol-relaxed geometry, as listed in Alexandria.

Summary:
Space group: I4/mmm (139)
ΔE to the lowest computed polymorph: 0.15 eV per formula unit
Calculated density: 3.179 g/cm³
V: 84.5 Å³/f.u.

a b c (Å): 4.2844 4.2844 5.5123
angles (deg): 112.87 112.87 90.00
Closest atoms and distances in Å follow each position.
Atoms (fractional coordinates):
Ag (0.5000, 0.5000, 0.0000)  4 Ca 3.03, 8 Li 3.14
Li (0.7500, 0.2500, 0.5000)  4 Li 3.03, 4 Ca 3.14, 4 Ag 3.14
Li (0.2500, 0.7500, 0.5000)  4 Li 3.03, 4 Ca 3.14, 4 Ag 3.14
Ca (0.0000, 0.0000, 0.0000)  4 Ag 3.03, 8 Li 3.14

---

Record 7
First-principles (SCAN) data for Li2CaAg at its PBEsol-relaxed geometry, as listed in Alexandria.

Summary:
Space group: Fm-3m (225)
ΔE to the lowest computed polymorph: 0.23 eV per formula unit
Calculated density: 3.289 g/cm³
V: 81.7 Å³/f.u.

a b c (Å): 4.8708 4.8708 4.8708
angles (deg): 60.00 60.00 60.00
Closest atoms and distances in Å follow each position.
Atoms (fractional coordinates):
Li (0.2500, 0.2500, 0.2500)  4 Ca 2.98, 4 Ag 2.98
Li (0.7500, 0.7500, 0.7500)  4 Ag 2.98, 4 Ca 2.98
Ca (0.5000, 0.5000, 0.5000)  8 Li 2.98
Ag (0.0000, 0.0000, 0.0000)  8 Li 2.98

---

Record 8
First-principles (SCAN) data for LiCa2Ag at its PBEsol-relaxed geometry, as listed in Alexandria.

Summary:
Space group: P4/mmm (123)
ΔE to the lowest computed polymorph: 0.15 eV per formula unit
Calculated density: 3.092 g/cm³
V: 104.7 Å³/f.u.

a b c (Å): 3.8019 5.2483 5.2483
angles (deg): 90.00 90.00 90.00
Closest atoms and distances in Å follow each position.
Atoms (fractional coordinates):
Li (0.5000, 0.5000, 0.5000)  8 Ca 3.24
Ca (0.0000, 0.5000, 0.0000)  4 Li 3.24, 4 Ag 3.24
Ca (0.0000, 0.0000, 0.5000)  4 Ag 3.24, 4 Li 3.24
Ag (0.5000, 0.0000, 0.0000)  8 Ca 3.24

---

Record 9
First-principles (SCAN) data for LiCaAg at its PBEsol-relaxed geometry, as listed in Alexandria.

Summary:
Space group: I4mm (107)
ΔE to the lowest computed polymorph: 0.05 eV per formula unit
Calculated density: 3.859 g/cm³
V: 66.6 Å³/f.u.

a b c (Å): 3.6054 3.6054 5.7255
angles (deg): 108.35 108.35 90.00
Closest atoms and distances in Å follow each position.
Atoms (fractional coordinates):
Ca (0.3423, 0.3423, 0.6847)  5 Li 2.98-3.33, 5 Ag 3.16-3.26
Ag (0.0243, 0.0243, 0.0486)  4 Li 2.78
Li (0.6333, 0.6333, 0.2667)  4 Ag 2.78, 1 Ca 2.98

---

Record 10
First-principles (SCAN) data for Ca2MgAg at its PBEsol-relaxed geometry, as listed in Alexandria.

Summary:
Space group: R3m (160)
Calculated density: 2.910 g/cm³
Energy: -1.023 Ry per atom
V: 121.2 Å³/f.u.

a b c (Å): 3.7999 3.7999 9.9350
angles (deg): 78.98 78.98 60.00
Closest atoms and distances in Å follow each position.
Atoms (fractional coordinates):
Ca (0.9799, 0.9799, 0.0603)  3 Ag 3.02
Ca (0.7597, 0.7597, 0.7210)  3 Mg 3.46, 6 Ca 3.80
Ag (0.2420, 0.2420, 0.2740)  3 Mg 2.75, 3 Ca 3.02
Mg (0.5185, 0.5185, 0.4446)  3 Ag 2.75

---

Record 11
First-principles (SCAN) data for Ca2MgAg2 at its PBEsol-relaxed geometry, as listed in Alexandria.

Summary:
Space group: I4/mmm (139)
ΔE to the lowest computed polymorph: 1.29 eV per formula unit
Calculated density: 3.987 g/cm³
V: 133.4 Å³/f.u.

a b c (Å): 3.8486 3.8486 9.4055
angles (deg): 101.81 101.81 90.00
Closest atoms and distances in Å follow each position.
Atoms (fractional coordinates):
Ca (0.3852, 0.3852, 0.7704)  4 Ag 3.10, 4 Mg 3.42
Ca (0.6148, 0.6148, 0.2296)  4 Ag 3.10, 4 Mg 3.42
Ag (0.2500, 0.7500, 0.5000)  4 Ag 2.72
Ag (0.7500, 0.2500, 0.5000)  4 Ag 2.72
Mg (0.0000, 0.0000, 0.0000)  8 Ca 3.42

---

Record 12
First-principles (SCAN) data for Ca2MgAg2 at its PBEsol-relaxed geometry, as listed in Alexandria.

Summary:
Space group: P4/mbm (127)
ΔE to the lowest computed polymorph: 0.00 eV per formula unit
Calculated density: 4.253 g/cm³
V: 125.0 Å³/f.u.

a b c (Å): 4.2037 7.7127 7.7127
angles (deg): 90.00 90.00 90.00
Closest atoms and distances in Å follow each position.
Atoms (fractional coordinates):
Mg (0.0000, 0.5000, 0.5000)  4 Ag 3.03
Mg (0.0000, 0.0000, 0.0000)  4 Ag 3.03
Ag (0.0000, 0.8711, 0.6289)  1 Ag 2.81, 2 Mg 3.03, 6 Ca 3.03-3.14
Ag (0.0000, 0.3711, 0.8711)  1 Ag 2.81, 2 Mg 3.03, 6 Ca 3.03-3.14
Ag (0.0000, 0.6289, 0.1289)  1 Ag 2.81, 2 Mg 3.03, 6 Ca 3.03-3.14
Ag (0.0000, 0.1289, 0.3711)  1 Ag 2.81, 2 Mg 3.03, 6 Ca 3.03-3.14
Ca (0.5000, 0.8293, 0.3293)  6 Ag 3.03-3.14
Ca (0.5000, 0.1707, 0.6707)  6 Ag 3.03-3.14
Ca (0.5000, 0.3293, 0.1707)  6 Ag 3.03-3.14
Ca (0.5000, 0.6707, 0.8293)  6 Ag 3.03-3.14

---

Record 13
First-principles (SCAN) data for Ca2MgAg at its PBEsol-relaxed geometry, as listed in Alexandria.

Summary:
Space group: Cm (8)
Calculated density: 3.218 g/cm³
Energy: -1.035 Ry per atom
V: 109.6 Å³/f.u.

a b c (Å): 3.5803 5.4660 6.5915
angles (deg): 116.92 105.76 90.00
Closest atoms and distances in Å follow each position.
Atoms (fractional coordinates):
Mg (0.5441, 0.5566, 0.0882)  2 Ag 2.78
Ca (0.9619, 0.9710, 0.9238)  2 Ag 3.12, 4 Mg 3.38-3.41
Ca (0.7607, 0.2544, 0.5214)  4 Ag 3.25-3.31, 1 Mg 3.50, 4 Ca 3.53-3.58
Ag (0.2333, 0.7180, 0.4666)  2 Mg 2.78

---

Record 14
First-principles (SCAN) data for Ca2MgAg at its PBEsol-relaxed geometry, as listed in Alexandria.

Summary:
Space group: Amm2 (38)
Calculated density: 3.081 g/cm³
Energy: -1.036 Ry per atom
V: 114.4 Å³/f.u.

a b c (Å): 4.1291 4.6792 6.2724
angles (deg): 90.00 109.22 90.00
Closest atoms and distances in Å follow each position.
Atoms (fractional coordinates):
Ag (0.6793, 0.5000, 0.3586)  2 Mg 2.81
Mg (0.8107, 0.0000, 0.6213)  2 Ag 2.81
Ca (0.3981, 0.5000, 0.7961)  4 Mg 3.29, 3 Ag 3.31-3.33
Ca (0.0979, 0.0000, 0.1959)  3 Mg 3.26-3.40, 4 Ag 3.27

---

Record 15
First-principles (SCAN) data for Ca2MgAg at its PBEsol-relaxed geometry, as listed in Alexandria.

Summary:
Space group: P4/mmm (123)
Calculated density: 3.244 g/cm³
Energy: -1.037 Ry per atom
V: 108.7 Å³/f.u.

a b c (Å): 3.6506 3.6506 8.1555
angles (deg): 90.00 90.00 90.00
Closest atoms and distances in Å follow each position.
Atoms (fractional coordinates):
Ag (0.5000, 0.5000, 0.5000)  8 Ca 3.14
Ca (0.0000, 0.0000, 0.2799)  4 Ag 3.14, 4 Mg 3.45
Ca (0.0000, 0.0000, 0.7201)  4 Ag 3.14, 4 Mg 3.45
Mg (0.5000, 0.5000, 0.0000)  8 Ca 3.45, 4 Mg 3.65

---

Record 16
First-principles (SCAN) data for CaMgAg2 at its PBEsol-relaxed geometry, as listed in Alexandria.

Summary:
Space group: P4/mmm (123)
Calculated density: 5.520 g/cm³
Energy: -1.437 Ry per atom
V: 84.3 Å³/f.u.

a b c (Å): 3.4622 4.9334 4.9334
angles (deg): 90.00 90.00 90.00
Closest atoms and distances in Å follow each position.
Atoms (fractional coordinates):
Ag (0.0000, 0.0000, 0.5000)  4 Ca 3.01, 4 Mg 3.01
Ag (0.0000, 0.5000, 0.0000)  4 Ca 3.01, 4 Mg 3.01
Ca (0.5000, 0.5000, 0.5000)  8 Ag 3.01
Mg (0.5000, 0.0000, 0.0000)  8 Ag 3.01

---

Record 17
First-principles (SCAN) data for CaMg3Ag at its PBEsol-relaxed geometry, as listed in Alexandria.

Summary:
Space group: Pm-3m (221)
Calculated density: 1.773 g/cm³
Energy: -0.735 Ry per atom
V: 206.8 Å³/f.u.

a b c (Å): 5.9138 5.9138 5.9138
angles (deg): 90.00 90.00 90.00
Closest atoms and distances in Å follow each position.
Atoms (fractional coordinates):
Mg (0.5000, 0.0000, 0.0000)  2 Ca 2.96
Mg (0.0000, 0.5000, 0.0000)  2 Ca 2.96
Mg (0.0000, 0.0000, 0.5000)  2 Ca 2.96
Ag (0.5000, 0.5000, 0.5000)  12 Mg 4.18
Ca (0.0000, 0.0000, 0.0000)  6 Mg 2.96

---

Record 18
First-principles (SCAN) data for CaMgAg4 at its PBEsol-relaxed geometry, as listed in Alexandria.

Summary:
Space group: F-43m (216)
Calculated density: 6.886 g/cm³
Energy: -1.733 Ry per atom
V: 119.6 Å³/f.u.

a b c (Å): 5.5300 5.5300 5.5300
angles (deg): 60.00 60.00 60.00
Closest atoms and distances in Å follow each position.
Atoms (fractional coordinates):
Ag (0.3746, 0.3746, 0.3746)  6 Ag 2.76-2.77
Ag (0.3746, 0.3746, 0.8761)  6 Ag 2.76-2.77
Ag (0.3746, 0.8761, 0.3746)  6 Ag 2.76-2.77
Ag (0.8761, 0.3746, 0.3746)  6 Ag 2.76-2.77
Ca (0.7500, 0.7500, 0.7500)  12 Ag 3.24, 4 Mg 3.39
Mg (0.0000, 0.0000, 0.0000)  12 Ag 3.24, 4 Ca 3.39

---

Record 19
First-principles (SCAN) data for CaMgAg2 at its PBEsol-relaxed geometry, as listed in Alexandria.

Summary:
Space group: Pm (6)
Calculated density: 5.273 g/cm³
Energy: -1.439 Ry per atom
V: 88.2 Å³/f.u.

a b c (Å): 3.5265 4.5638 5.7618
angles (deg): 90.00 107.96 90.00
Closest atoms and distances in Å follow each position.
Atoms (fractional coordinates):
Ca (0.5298, 0.0000, 0.4330)  7 Ag 2.94-3.10
Ag (0.7960, 0.0000, 0.9689)  2 Ag 2.80, 3 Ca 2.94-3.10, 4 Mg 2.98
Ag (0.9455, 0.5000, 0.2655)  2 Ag 2.80, 3 Mg 2.95-3.11, 4 Ca 3.03
Mg (0.2287, 0.5000, 0.8326)  7 Ag 2.95-3.11

---

Record 20
First-principles (SCAN) data for Ca2MgAg at its PBEsol-relaxed geometry, as listed in Alexandria.

Summary:
Space group: P4mm (99)
Calculated density: 3.197 g/cm³
Energy: -1.035 Ry per atom
V: 110.3 Å³/f.u.

a b c (Å): 3.6442 3.6442 8.3050
angles (deg): 90.00 90.00 90.00
Closest atoms and distances in Å follow each position.
Atoms (fractional coordinates):
Mg (0.0000, 0.0000, 0.5564)  4 Ag 2.88, 1 Ca 3.19
Ag (0.5000, 0.5000, 0.7105)  4 Mg 2.88, 4 Ca 3.21
Ca (0.0000, 0.0000, 0.9402)  1 Mg 3.19, 4 Ag 3.21
Ca (0.5000, 0.5000, 0.2929)  4 Mg 3.38, 1 Ag 3.47, 4 Ca 3.64

---

Short version: spin magnetization = 0.10, 0.00, 0.00, 0.00, 0.03, 0.01, 0.00, 0.01, 0.03, 0.02, 0.09, 0.00, 0.06, 0.00, 0.02, 0.00, 0.00, 0.00, 0.00, 0.06 Bohr magnetons per cell, in the order given.